1.
ZrNbIr | PBE | relaxed

- formation energy from the elements (kJ per mole of atoms) = -22.6
- volume (Å³ per cell) = 63.6
- calculated total energy (eV per cell) = -28.2
- M_tot (Bohr magnetons per cell) = 0.001

a b c (Å): 4.480 4.480 4.480
angles (deg): 60.00 60.00 60.00
Fractional coordinates of all 3 atoms:
Ir1 0.000 0.000 0.000
Nb1 0.250 0.250 0.250
Zr1 0.750 0.750 0.750

2.
Sm2HoCo2B2P3 | PBE | relaxed

- volume (Å³ per cell) = 167.4
- calculated total energy (eV per cell) = -66.5
- M_tot (Bohr magnetons per cell) = 0.003

a b c (Å): 11.314 11.314 11.314
angles (deg): 160.12 160.12 28.26
Fractional coordinates of all 10 atoms:
Sm1 0.361 0.361 0.000
Sm2 0.639 0.639 0.000
B1 0.785 0.785 0.000
B2 0.215 0.215 0.000
P1 0.125 0.125 0.000
P2 0.875 0.875 0.000
P3 0.500 0.500 0.000
Co1 0.750 0.250 0.500
Co2 0.250 0.750 0.500
Ho1 0.000 0.000 0.000

3.
LaCd2Pd | PBE | relaxed

- formation energy from the elements (kJ per mole of atoms) = -58.5
- volume (Å³ per cell) = 186.5
- calculated total energy (eV per cell) = -28.6
- M_tot (Bohr magnetons per cell) = 0.004

a b c (Å): 8.488 5.515 5.515
angles (deg): 46.27 90.00 90.00
Fractional coordinates of all 8 atoms:
Pd1 0.500 0.279 0.279
Pd2 0.000 0.721 0.721
Cd1 0.299 0.856 0.856
Cd2 0.701 0.856 0.856
Cd3 0.201 0.144 0.144
Cd4 0.799 0.144 0.144
La1 0.000 0.436 0.436
La2 0.500 0.564 0.564

4.
Re12W | PBE | relaxed

- formation energy from the elements (kJ per mole of atoms) = 22.3
- volume (Å³ per cell) = 200.4
- calculated total energy (eV per cell) = -159.0
- M_tot (Bohr magnetons per cell) = 0.097

a b c (Å): 9.448 9.448 9.448
angles (deg): 31.16 31.16 31.16
Fractional coordinates of all 13 atoms:
Re1 0.582 0.090 0.090
Re2 0.454 0.454 0.454
Re3 0.910 0.418 0.910
Re4 0.652 0.652 0.652
Re5 0.910 0.910 0.418
Re6 0.166 0.166 0.166
Re7 0.348 0.348 0.348
Re8 0.546 0.546 0.546
Re9 0.834 0.834 0.834
Re10 0.418 0.910 0.910
Re11 0.090 0.090 0.582
Re12 0.090 0.582 0.090
W1 0.000 0.000 0.000